Compound: CrPbO2
Source: Alexandria
Functional: GGA+U
Structure: optimized geometry

Lattice parameters (Å, degrees): 6.7730 6.7730 6.7730 30.82 30.82 30.82
Last column: nearest neighbours and their distance in Å.
Fractional coordinates of all 4 atoms:
Cr1 0.0000 0.0000 0.0000  2 O 1.91
Pb1 0.5000 0.5000 0.5000  6 O 2.46
O1 0.0986 0.0986 0.0986  1 Cr 1.91
O2 0.9014 0.9014 0.9014  1 Cr 1.91

Results
The value obtained for the total energy is -24.40 eV/cell.